# MgAlW (PBE, optimized geometry)
# Relative energy among the computed polymorphs: 741.3 meV per atom
# V: 59.3 Å³ per cell
# Energy relative to the elements: 0.919 eV per atom
# D(E_F): 3.61 states/eV/cell
# Symmetry: F-43m (216)
data_MgAlW
_chemical_formula_sum 'Mg1 Al1 W1'
_cell_length_a 4.377
_cell_length_b 4.377
_cell_length_c 4.377
_cell_angle_alpha 60.00
_cell_angle_beta 60.00
_cell_angle_gamma 60.00
_space_group_name_H-M_alt 'P 1'
_space_group_IT_number 1
loop_
_space_group_symop_operation_xyz
'x,y,z'
loop_
_atom_site_label
_atom_site_type_symbol
_atom_site_fract_x
_atom_site_fract_y
_atom_site_fract_z
_atom_site_occupancy
Al1 Al 0.750 0.750 0.750 1
W1 W 0.500 0.500 0.500 1
Mg1 Mg 0.000 0.000 0.000 1

---

# Na2BeSiO4 (PBE, optimized geometry)
# Relative energy among the computed polymorphs: 11.5 meV per atom
# V: 692.2 Å³ per cell
# D(E_F): 0.00 states/eV/cell
# Formation energy from raw total energies: -2453 meV per atom
# Symmetry: Pca2_1 (29)
data_Na2BeSiO4
_chemical_formula_sum 'Na16 Be8 Si8 O32'
_cell_length_a 4.962
_cell_length_b 9.960
_cell_length_c 14.007
_cell_angle_alpha 90.00
_cell_angle_beta 90.00
_cell_angle_gamma 90.00
_space_group_name_H-M_alt 'P 1'
_space_group_IT_number 1
loop_
_space_group_symop_operation_xyz
'x,y,z'
loop_
_atom_site_label
_atom_site_type_symbol
_atom_site_fract_x
_atom_site_fract_y
_atom_site_fract_z
_atom_site_occupancy
Na1 Na 0.532 0.232 0.331 1
Si1 Si 0.491 0.734 0.080 1
Na2 Na 0.972 0.728 0.200 1
Na3 Na 0.992 0.989 0.075 1
Na4 Na 0.478 0.997 0.458 1
O1 O 0.915 0.674 0.857 1
O2 O 0.120 0.914 0.912 1
Si2 Si 0.509 0.266 0.580 1
O3 O 0.798 0.013 0.228 1
O4 O 0.403 0.669 0.670 1
Na5 Na 0.992 0.511 0.575 1
Na6 Na 0.532 0.268 0.831 1
Na7 Na 0.522 0.497 0.458 1
Be1 Be 0.526 0.486 0.206 1
O5 O 0.275 0.192 0.515 1
O6 O 0.725 0.692 0.515 1
O7 O 0.597 0.169 0.670 1
Na8 Na 0.478 0.503 0.958 1
O8 O 0.085 0.174 0.857 1
Be2 Be 0.474 0.514 0.706 1
O9 O 0.275 0.308 0.015 1
O10 O 0.773 0.308 0.515 1
O11 O 0.085 0.326 0.357 1
O12 O 0.379 0.407 0.621 1
O13 O 0.297 0.489 0.804 1
Be3 Be 0.993 0.768 0.950 1
O14 O 0.880 0.086 0.412 1
Be4 Be 0.474 0.986 0.206 1
O15 O 0.915 0.826 0.357 1
O16 O 0.773 0.192 0.015 1
O17 O 0.202 0.987 0.728 1
Be5 Be 0.993 0.732 0.450 1
Na9 Na 0.468 0.732 0.331 1
Na10 Na 0.468 0.768 0.831 1
O18 O 0.703 0.989 0.804 1
Si3 Si 0.025 0.483 0.326 1
Si4 Si 0.509 0.234 0.080 1
Si5 Si 0.975 0.983 0.326 1
Si6 Si 0.491 0.766 0.580 1
O19 O 0.880 0.414 0.912 1
O20 O 0.227 0.692 0.015 1
O21 O 0.621 0.593 0.121 1
Be6 Be 0.526 0.014 0.706 1
O22 O 0.703 0.511 0.304 1
Si7 Si 0.025 0.017 0.826 1
Na11 Na 0.028 0.272 0.700 1
Na12 Na 0.008 0.489 0.075 1
O23 O 0.621 0.907 0.621 1
Be7 Be 0.007 0.232 0.450 1
O24 O 0.725 0.808 0.015 1
O25 O 0.120 0.586 0.412 1
O26 O 0.403 0.831 0.170 1
Si8 Si 0.975 0.517 0.826 1
O27 O 0.297 0.011 0.304 1
O28 O 0.202 0.513 0.228 1
O29 O 0.227 0.808 0.515 1
Be8 Be 0.007 0.268 0.950 1
Na13 Na 0.008 0.011 0.575 1
O30 O 0.597 0.331 0.170 1
O31 O 0.379 0.093 0.121 1
Na14 Na 0.028 0.228 0.200 1
Na15 Na 0.522 0.003 0.958 1
O32 O 0.798 0.487 0.728 1
Na16 Na 0.972 0.772 0.700 1

---

# YHo4Pu (PBE, optimized geometry)
# V: 366.3 Å³ per cell
# Energy relative to the elements: 0.063 eV per atom
# D(E_F): 27.34 states/eV/cell
# Symmetry: Cmc2_1 (36)
data_YHo4Pu
_chemical_formula_sum 'Y2 Ho8 Pu2'
_cell_length_a 3.499
_cell_length_b 9.306
_cell_length_c 11.456
_cell_angle_alpha 90.00
_cell_angle_beta 90.00
_cell_angle_gamma 100.83
_space_group_name_H-M_alt 'P 1'
_space_group_IT_number 1
loop_
_space_group_symop_operation_xyz
'x,y,z'
loop_
_atom_site_label
_atom_site_type_symbol
_atom_site_fract_x
_atom_site_fract_y
_atom_site_fract_z
_atom_site_occupancy
Ho1 Ho 0.558 0.115 0.019 1
Pu1 Pu 0.776 0.552 0.519 1
Pu2 Pu 0.224 0.448 0.019 1
Y1 Y 0.668 0.336 0.771 1
Ho2 Ho 0.112 0.225 0.518 1
Y2 Y 0.332 0.664 0.271 1
Ho3 Ho 0.333 0.665 0.766 1
Ho4 Ho 0.000 0.999 0.768 1
Ho5 Ho 0.000 0.001 0.268 1
Ho6 Ho 0.442 0.885 0.519 1
Ho7 Ho 0.888 0.775 0.018 1
Ho8 Ho 0.667 0.335 0.266 1

---

# Sm2AgHgO5 (PBE, optimized geometry)
# V: 273.7 Å³ per cell
# D(E_F): 6.63 states/eV/cell
# Formation energy from raw total energies: -1781 meV per atom
# Symmetry: P4/mbm (127)
data_Sm2AgHgO5
_chemical_formula_sum 'Sm4 Ag2 Hg2 O10'
_cell_length_a 5.843
_cell_length_b 6.844
_cell_length_c 6.844
_cell_angle_alpha 90.00
_cell_angle_beta 90.00
_cell_angle_gamma 90.00
_space_group_name_H-M_alt 'P 1'
_space_group_IT_number 1
loop_
_space_group_symop_operation_xyz
'x,y,z'
loop_
_atom_site_label
_atom_site_type_symbol
_atom_site_fract_x
_atom_site_fract_y
_atom_site_fract_z
_atom_site_occupancy
O1 O 0.267 0.368 0.132 1
O2 O 0.267 0.868 0.368 1
O3 O 0.500 0.500 0.500 1
O4 O 0.733 0.368 0.132 1
Hg1 Hg 0.000 0.500 0.500 1
Hg2 Hg 0.000 0.000 0.000 1
Sm1 Sm 0.500 0.825 0.675 1
O5 O 0.500 0.000 0.000 1
O6 O 0.267 0.132 0.632 1
Sm2 Sm 0.500 0.175 0.325 1
O7 O 0.267 0.632 0.868 1
Ag1 Ag 0.000 0.500 0.000 1
O8 O 0.733 0.132 0.632 1
O9 O 0.733 0.632 0.868 1
O10 O 0.733 0.868 0.368 1
Sm3 Sm 0.500 0.325 0.825 1
Sm4 Sm 0.500 0.675 0.175 1
Ag2 Ag 0.000 0.000 0.500 1

---

# Li4Pu3NpS8 (PBE, optimized geometry)
# V: 333.7 Å³ per cell
# D(E_F): 36.82 states/eV/cell
# Formation energy from raw total energies: -1481 meV per atom
# Symmetry: R-3m (166)
data_Li4Pu3NpS8
_chemical_formula_sum 'Li4 Pu3 Np1 S8'
_cell_length_a 7.941
_cell_length_b 7.637
_cell_length_c 7.942
_cell_angle_alpha 121.32
_cell_angle_beta 120.00
_cell_angle_gamma 90.00
_space_group_name_H-M_alt 'P 1'
_space_group_IT_number 1
loop_
_space_group_symop_operation_xyz
'x,y,z'
loop_
_atom_site_label
_atom_site_type_symbol
_atom_site_fract_x
_atom_site_fract_y
_atom_site_fract_z
_atom_site_occupancy
S1 S 0.250 0.753 0.003 1
S2 S 0.250 0.753 0.500 1
Li1 Li 0.000 0.000 0.000 1
S3 S 0.251 0.253 0.502 1
Pu1 Pu 0.500 0.500 0.000 1
S4 S 0.749 0.747 0.498 1
Li2 Li 0.000 0.000 0.500 1
Li3 Li 0.500 0.000 0.000 1
S5 S 0.750 0.247 0.500 1
S6 S 0.750 0.247 0.997 1
Pu2 Pu 0.500 0.500 0.500 1
Li4 Li 0.500 0.000 0.500 1
Np1 Np 0.000 0.500 0.000 1
Pu3 Pu 0.000 0.500 0.500 1
S7 S 0.752 0.753 0.003 1
S8 S 0.248 0.247 0.997 1

---

# Y4TeAs2Se (PBE, optimized geometry)
# V: 207.1 Å³ per cell
# D(E_F): 3.40 states/eV/cell
# Formation energy from raw total energies: -1605 meV per atom
# Symmetry: P2/m (10)
data_Y4TeAs2Se
_chemical_formula_sum 'Y4 Te1 As2 Se1'
_cell_length_a 4.160
_cell_length_b 7.317
_cell_length_c 7.206
_cell_angle_alpha 70.81
_cell_angle_beta 90.00
_cell_angle_gamma 90.00
_space_group_name_H-M_alt 'P 1'
_space_group_IT_number 1
loop_
_space_group_symop_operation_xyz
'x,y,z'
loop_
_atom_site_label
_atom_site_type_symbol
_atom_site_fract_x
_atom_site_fract_y
_atom_site_fract_z
_atom_site_occupancy
Se1 Se 0.000 0.500 0.500 1
As1 As 0.500 0.000 0.500 1
Y1 Y 0.000 0.224 0.266 1
Y2 Y 0.500 0.230 0.750 1
Y3 Y 0.000 0.776 0.734 1
Te1 Te 0.500 0.500 0.000 1
As2 As 0.000 0.000 0.000 1
Y4 Y 0.500 0.770 0.250 1

---

# KLiSe (PBE, optimized geometry)
# V: 80.3 Å³ per cell
# D(E_F): 0.50 states/eV/cell
# Formation energy from raw total energies: -893 meV per atom
# Symmetry: Fmm2 (42)
data_KLiSe
_chemical_formula_sum 'K1 Li1 Se1'
_cell_length_a 6.066
_cell_length_b 6.064
_cell_length_c 3.850
_cell_angle_alpha 71.53
_cell_angle_beta 71.46
_cell_angle_gamma 37.01
_space_group_name_H-M_alt 'P 1'
_space_group_IT_number 1
loop_
_space_group_symop_operation_xyz
'x,y,z'
loop_
_atom_site_label
_atom_site_type_symbol
_atom_site_fract_x
_atom_site_fract_y
_atom_site_fract_z
_atom_site_occupancy
K1 K 0.016 0.016 0.984 1
Li1 Li 0.265 0.265 0.735 1
Se1 Se 0.719 0.719 0.281 1

---

# MgZn2GeN4 (PBE, optimized geometry)
# V: 196.6 Å³ per cell
# D(E_F): 12.63 states/eV/cell
# Formation energy from raw total energies: 51 meV per atom
# Symmetry: Pmn2_1 (31)
data_MgZn2GeN4
_chemical_formula_sum 'Mg2 Zn4 Ge2 N8'
_cell_length_a 5.313
_cell_length_b 5.609
_cell_length_c 6.598
_cell_angle_alpha 90.00
_cell_angle_beta 90.00
_cell_angle_gamma 90.00
_space_group_name_H-M_alt 'P 1'
_space_group_IT_number 1
loop_
_space_group_symop_operation_xyz
'x,y,z'
loop_
_atom_site_label
_atom_site_type_symbol
_atom_site_fract_x
_atom_site_fract_y
_atom_site_fract_z
_atom_site_occupancy
Zn1 Zn 0.000 0.668 0.752 1
N1 N 0.879 0.329 0.232 1
Zn2 Zn 0.000 0.668 0.248 1
N2 N 0.893 0.855 0.000 1
N3 N 0.854 0.817 0.500 1
N4 N 0.879 0.329 0.768 1
Zn3 Zn 0.500 0.332 0.252 1
N5 N 0.393 0.145 0.500 1
Mg1 Mg 0.995 0.167 0.500 1
Mg2 Mg 0.495 0.833 0.000 1
Zn4 Zn 0.500 0.332 0.748 1
Ge1 Ge 0.000 0.176 0.000 1
N6 N 0.354 0.183 0.000 1
N7 N 0.379 0.671 0.732 1
Ge2 Ge 0.500 0.824 0.500 1
N8 N 0.379 0.671 0.268 1